Here is a geometry-optimized HgHPd2 structure from Alexandria. Energies are from GGA-PBE.

abc: 3.021 3.021 7.061
angles: 77.65 77.65 60.00
Element x y z (fractional)
Pd 0.722 0.722 0.833
H 0.000 0.000 0.000
Hg 0.500 0.500 0.500
Pd 0.278 0.278 0.167

## Properties
M_tot, μB/f.u.: 0.000
Offset from the most stable computed form, meV per atom: 69
SG: R-3m (166)
Crystal system: trigonal